Compound: NbCu2GeO
Source: the Alexandria database
Functional: PBEsol
Structure: relaxed

Output
- ΔE_f (raw) (eV per formula unit) = -1.25
- space group = P4/mmm (123)
- final energy (eV per atom) = -6.19

```
data_NbCu2GeO
_chemical_formula_sum 'Nb1 Cu2 Ge1 O1'
_cell_length_a 3.999
_cell_length_b 3.999
_cell_length_c 4.131
_cell_angle_alpha 90.00
_cell_angle_beta 90.00
_cell_angle_gamma 90.00
_symmetry_space_group_name_H-M 'P 1'
_symmetry_Int_Tables_number 1
loop_
_symmetry_equiv_pos_as_xyz
'x,y,z'
loop_
_atom_site_label
_atom_site_fract_x
_atom_site_fract_y
_atom_site_fract_z
Nb1 0.000 0.000 0.000
Cu1 0.000 0.500 0.500
Cu2 0.500 0.000 0.500
Ge1 0.500 0.500 0.000
O1 0.000 0.000 0.500
```